Entry from Alexandria via LeMat-Bulk: CdAu3C after structural relaxation (PBE).

abc: 4.418 4.418 4.418
angles: 90.00 90.00 90.00
Element x y z (fractional)
Cd: 0.000 0.000 0.000
Au: 0.000 0.500 0.500
Au: 0.500 0.000 0.500
Au: 0.500 0.500 0.000
C: 0.500 0.500 0.500

Computed properties:
- SG: Pm-3m (221)
- DFT formation energy: 0.61 eV/atom

***

Entry from Alexandria via LeMat-Bulk: CdAu2C after structural relaxation (PBE).

abc: 4.566 4.566 4.566
angles: 60.00 60.00 60.00
Element x y z (fractional)
Cd: 0.000 0.000 0.000
Au: 0.250 0.250 0.250
Au: 0.750 0.750 0.750
C: 0.500 0.500 0.500

Computed properties:
- SG: Fm-3m (225)
- DFT formation energy: 1.34 eV/atom

***

Entry from Alexandria via LeMat-Bulk: CsCd2AuC after structural relaxation (PBE).

abc: 7.648 7.648 5.613
angles: 90.00 90.00 90.00
Element x y z (fractional)
Cs: 0.000 0.000 0.000
Cd: 0.000 0.500 0.000
Cd: 0.500 0.000 0.000
Au: 0.500 0.500 0.500
C: 0.000 0.000 0.500

Computed properties:
- SG: P4/mmm (123)
- DFT formation energy: 1.81 eV/atom

***

Entry from Alexandria via LeMat-Bulk: CdCu2AuC after structural relaxation (PBE).

abc: 4.025 4.025 4.387
angles: 90.00 90.00 90.00
Element x y z (fractional)
Cd: 0.000 0.000 0.000
Cu: 0.000 0.500 0.500
Cu: 0.500 0.000 0.500
Au: 0.500 0.500 0.000
C: 0.500 0.500 0.500

Computed properties:
- SG: P4/mmm (123)
- DFT formation energy: 0.47 eV/atom

***

Entry from Alexandria via LeMat-Bulk: K2CdAuC after structural relaxation (PBE).

abc: 6.582 6.582 5.189
angles: 90.00 90.00 90.00
Element x y z (fractional)
K: 0.000 0.500 0.000
K: 0.500 0.000 0.000
Cd: 0.000 0.000 0.000
Au: 0.000 0.000 0.500
C: 0.500 0.500 0.500

Computed properties:
- SG: P4/mmm (123)
- DFT formation energy: 1.21 eV/atom

***

Entry from Alexandria via LeMat-Bulk: CdAuCN2 after structural relaxation (PBE).

abc: 3.518 3.518 6.357
angles: 90.00 90.00 90.00
Element x y z (fractional)
Cd: 0.000 0.000 0.000
Au: 0.500 0.500 0.000
C: 0.000 0.000 0.500
N: 0.000 0.500 0.500
N: 0.500 0.000 0.500

Computed properties:
- Raw formation energy: 2.315 eV/atom
- SG: P4/mmm (123)

***

Entry from Alexandria via LeMat-Bulk: CdAu2CO after structural relaxation (PBE).

abc: 4.436 4.436 4.584
angles: 90.00 90.00 90.00
Element x y z (fractional)
Cd: 0.000 0.000 0.000
Au: 0.000 0.500 0.500
Au: 0.500 0.000 0.500
C: 0.500 0.500 0.000
O: 0.000 0.000 0.500

Computed properties:
- Raw formation energy: 1.369 eV/atom
- SG: P4/mmm (123)

***

Entry from Alexandria via LeMat-Bulk: Cd2SnAuC after structural relaxation (PBE).

abc: 5.644 5.644 3.814
angles: 90.00 90.00 90.00
Element x y z (fractional)
Cd: 0.000 0.500 0.000
Cd: 0.500 0.000 0.000
Sn: 0.000 0.000 0.500
Au: 0.500 0.500 0.000
C: 0.500 0.500 0.500

Computed properties:
- SG: P4/mmm (123)
- DFT formation energy: 0.87 eV/atom

***

Entry from Alexandria via LeMat-Bulk: Cd2SnAuC after structural relaxation (PBE).

abc: 5.070 5.070 4.094
angles: 90.00 90.00 90.00
Element x y z (fractional)
Cd: 0.000 0.500 0.000
Cd: 0.500 0.000 0.000
Sn: 0.000 0.000 0.500
Au: 0.500 0.500 0.500
C: 0.500 0.500 0.000

Computed properties:
- SG: P4/mmm (123)
- DFT formation energy: 0.76 eV/atom

***

Entry from Alexandria via LeMat-Bulk: TiCdAu2C after structural relaxation (PBE).

abc: 5.020 5.020 5.150
angles: 90.00 90.00 90.00
Element x y z (fractional)
Ti: 0.000 0.000 0.000
Cd: 0.000 0.000 0.500
Au: 0.000 0.500 0.500
Au: 0.500 0.000 0.500
C: 0.500 0.500 0.000

Computed properties:
- SG: P4/mmm (123)
- DFT formation energy: 2.24 eV/atom

***

Entry from Alexandria via LeMat-Bulk: Ce4Au2C after structural relaxation (PBE).

abc: 8.184 8.184 8.184
angles: 144.99 144.99 50.35
Element x y z (fractional)
Ce: 0.000 0.500 0.500
Ce: 0.171 0.171 0.000
Ce: 0.500 0.000 0.500
Ce: 0.829 0.829 0.000
Au: 0.366 0.366 0.000
Au: 0.634 0.634 0.000
C: 0.000 0.000 0.000

Computed properties:
- SG: I4/mmm (139)
- DFT formation energy: -0.36 eV/atom

***

Entry from Alexandria via LeMat-Bulk: Ce4Au2C after structural relaxation (PBE).

abc: 7.643 12.666 3.646
angles: 90.00 90.00 90.00
Element x y z (fractional)
Ce: 0.110 0.182 0.000
Ce: 0.216 0.952 0.500
Ce: 0.284 0.452 0.500
Ce: 0.390 0.682 0.000
Ce: 0.610 0.318 0.000
Ce: 0.716 0.548 0.500
Ce: 0.784 0.048 0.500
Ce: 0.890 0.818 0.000
Au: 0.074 0.663 0.500
Au: 0.426 0.163 0.500
Au: 0.574 0.837 0.500
Au: 0.926 0.337 0.500
C: 0.000 0.000 0.000
C: 0.500 0.500 0.000

Computed properties:
- SG: Pbam (55)
- DFT formation energy: -0.33 eV/atom

***

| no. | calculated density (g/cm3) |
| --- | --- |
| 1 | 13.8 |
| 2 | 12.8 |
| 3 | 2.9 |
| 4 | 10.5 |
| 5 | 3.0 |
| 6 | 7.4 |
| 7 | 9.8 |
| 8 | 7.6 |
| 9 | 8.7 |
| 10 | 7.2 |
| 11 | 8.9 |
| 12 | 9.1 |